VASP calculation (GGA-PBE) on crystalline Hg2OsCN at its relaxed geometry.

a b c (Å): 5.3702 5.3702 3.8424
angles (deg): 90.00 90.00 90.00
With the nearest neighbours (Å) after each atom.
Positions (direct):
Hg1 0.0000 0.5000 0.0000  2 Os 2.69
Hg2 0.5000 0.0000 0.0000  2 Os 2.69
Os1 0.0000 0.0000 0.0000  2 C 1.92
C1 0.0000 0.0000 0.5000  2 Os 1.92
N1 0.5000 0.5000 0.5000  8 Hg 3.30

Results
density = 9.25 g cm⁻³
energy relative to the elements, uncorrected = 1.71 eV per atom
VASP energy = -20.85 eV/cell


VASP calculation (GGA-PBE) on crystalline HgOsC2N at its relaxed geometry.

a b c (Å): 4.0863 4.0863 4.1522
angles (deg): 90.00 90.00 90.00
With the nearest neighbours (Å) after each atom.
Positions (direct):
Hg1 0.0000 0.0000 0.0000  4 C 2.04, 2 N 2.08
Os1 0.5000 0.5000 0.5000  4 N 2.89, 8 C 2.91
C1 0.0000 0.5000 0.0000  2 Hg 2.04
C2 0.5000 0.0000 0.0000  2 Hg 2.04
N1 0.0000 0.0000 0.5000  2 Hg 2.08

Results
density = 10.27 g cm⁻³
energy relative to the elements, uncorrected = 3.83 eV per atom
VASP energy = -19.14 eV/cell


VASP calculation (GGA-PBE) on crystalline Pa3HgC4N12 at its relaxed geometry.

a b c (Å): 6.5492 6.5492 6.5492
angles (deg): 102.31 102.31 102.31
With the nearest neighbours (Å) after each atom.
Positions (direct):
Pa1 0.0000 0.5286 0.4714  6 N 2.26-2.31
Pa2 0.4714 0.0000 0.5286  6 N 2.26-2.31
Pa3 0.5286 0.4714 0.0000  6 N 2.26-2.31
Hg1 0.0000 0.0000 0.0000  6 N 2.55
C1 0.0261 0.5000 0.9739  3 N 1.35
C2 0.5000 0.5000 0.5000  3 N 1.36
C3 0.5000 0.9739 0.0261  3 N 1.35
C4 0.9739 0.0261 0.5000  3 N 1.35
N1 0.0214 0.6192 0.8300  1 C 1.35
N2 0.1067 0.8933 0.5000  1 C 1.35
N3 0.1700 0.3808 0.9786  1 C 1.35
N4 0.3669 0.6331 0.5000  1 C 1.36
N5 0.3808 0.9786 0.1700  1 C 1.35
N6 0.5000 0.1067 0.8933  1 C 1.35
N7 0.5000 0.3669 0.6331  1 C 1.36
N8 0.6192 0.8300 0.0214  1 C 1.35
N9 0.6331 0.5000 0.3669  1 C 1.36
N10 0.8300 0.0214 0.6192  1 C 1.35
N11 0.8933 0.5000 0.1067  1 C 1.35
N12 0.9786 0.1700 0.3808  1 C 1.35

Results
density = 7.14 g cm⁻³
energy relative to the elements, uncorrected = -0.26 eV per atom
VASP energy = -170.83 eV/cell


VASP calculation (GGA-PBE) on crystalline Pa2HgC2N6 at its relaxed geometry.

a b c (Å): 6.0168 6.0168 5.9974
angles (deg): 113.01 113.01 58.32
With the nearest neighbours (Å) after each atom.
Positions (direct):
Pa1 0.1731 0.1731 0.2913  6 N 2.23-2.42
Pa2 0.8269 0.8269 0.7087  6 N 2.23-2.42
Hg1 0.5000 0.5000 0.0000  8 N 3.20-3.23, 2 C 3.28, 4 Pa 3.48
C1 0.1508 0.1508 0.7327  3 N 1.36
C2 0.8492 0.8492 0.2673  3 N 1.36
N1 0.0077 0.6145 0.3430  1 C 1.36
N2 0.0747 0.0747 0.8667  1 C 1.36
N3 0.3855 0.9923 0.6570  1 C 1.36
N4 0.6145 0.0077 0.3430  1 C 1.36
N5 0.9253 0.9253 0.1333  1 C 1.36
N6 0.9923 0.3855 0.6570  1 C 1.36

Results
density = 7.75 g cm⁻³
energy relative to the elements, uncorrected = -0.61 eV per atom
VASP energy = -94.37 eV/cell